# CdBiH6Rh2

An optimized crystal structure of CdBiH6Rh2 (GGA-PBE, the Alexandria database).

abc: 7.3406 7.3406 5.6230
angles: 107.87 107.87 109.61
Closest atoms and distances in Å follow each position.
Positions (direct):
H: 0.0526 0.7065 0.7142  1 Rh 1.61, 1 H 1.63
H: 0.7065 0.0526 0.2142  1 Rh 1.61, 1 H 1.63
H: 0.9474 0.2935 0.2858  1 Rh 1.61, 1 H 1.63
H: 0.1901 0.4826 0.3878  1 Rh 1.63, 1 H 1.63
H: 0.1708 0.3111 0.6298  2 Rh 1.74-1.85
H: 0.2935 0.9474 0.7858  1 Rh 1.61, 1 H 1.63
H: 0.3111 0.1708 0.1298  2 Rh 1.74-1.85
H: 0.4826 0.1901 0.8878  1 Rh 1.63, 1 H 1.63
H: 0.5174 0.8099 0.1122  1 Rh 1.63, 1 H 1.63
H: 0.6889 0.8292 0.8702  2 Rh 1.74-1.85
H: 0.8292 0.6889 0.3702  2 Rh 1.74-1.85
H: 0.8099 0.5174 0.6122  1 Rh 1.63, 1 H 1.63
Rh: 0.1372 0.2298 0.2868  3 H 1.61-1.74
Rh: 0.2298 0.1372 0.7868  3 H 1.61-1.74
Rh: 0.7702 0.8628 0.2132  3 H 1.61-1.74
Rh: 0.8628 0.7702 0.7132  3 H 1.61-1.74
Bi: 0.1520 0.8480 0.2500  4 H 2.63-2.65, 4 Rh 2.79-2.85
Bi: 0.8480 0.1520 0.7500  4 H 2.63-2.65, 4 Rh 2.79-2.85
Cd: 0.5599 0.4401 0.7500  2 H 2.18
Cd: 0.4401 0.5599 0.2500  2 H 2.18

Results
VASP energy, eV per cell: -78.781
Mass density, Mg/m³: 7.329